This record from the Alexandria database describes crystalline Pt2SeCl2 at its relaxed geometry. The functional is PBE-GGA.

The value obtained for the total magnetization is 0.0 μB/f.u. The calculation puts the raw formation energy at 62 meV/atom. The value obtained for the energy above the most stable polymorph in this dataset is 0.000 eV per atom. Its space group is No. 127.

abc: 7.070 7.070 4.510
angles: 90.00 90.00 90.00
Atoms (fractional coordinates):
Pt: 0.269 0.231 0.000
Pt: 0.231 0.731 0.000
Pt: 0.731 0.769 0.000
Pt: 0.769 0.269 0.000
Cl: 0.334 0.166 0.500
Cl: 0.666 0.834 0.500
Cl: 0.834 0.334 0.500
Cl: 0.166 0.666 0.500
Se: 0.000 0.000 0.000
Se: 0.500 0.500 0.000